[1]
# SCAN BaNa3Ga, single point on PBEsol structure
data_BaNa3Ga
_chemical_formula_sum 'Ba1 Na3 Ga1'
_cell_length_a 6.6487
_cell_length_b 6.6487
_cell_length_c 6.6487
_cell_angle_alpha 90.00
_cell_angle_beta 90.00
_cell_angle_gamma 90.00
_space_group_name_H-M_alt 'P m -3 m'
_space_group_IT_number 221
_space_group_name_Hall '-P 4 2 3'
loop_
_atom_site_label
_atom_site_type_symbol
_atom_site_fract_x
_atom_site_fract_y
_atom_site_fract_z
Ba1 Ba 0.0000 0.0000 0.0000
Na1 Na 0.0000 0.0000 0.5000
Ga1 Ga 0.5000 0.5000 0.5000
# Distance to the lowest polymorph of the same formula in meV/atom: 888
# ΔH_f (0 K) in eV per atom: 0.954


[2]
# SCAN LaTiAs3, single point on PBEsol structure
data_LaTiAs3
_chemical_formula_sum 'La1 Ti1 As3'
_cell_length_a 5.3942
_cell_length_b 5.3942
_cell_length_c 5.3942
_cell_angle_alpha 90.00
_cell_angle_beta 90.00
_cell_angle_gamma 90.00
_space_group_name_H-M_alt 'P m -3 m'
_space_group_IT_number 221
_space_group_name_Hall '-P 4 2 3'
loop_
_atom_site_label
_atom_site_type_symbol
_atom_site_fract_x
_atom_site_fract_y
_atom_site_fract_z
La1 La 0.0000 0.0000 0.0000
Ti1 Ti 0.5000 0.5000 0.5000
As1 As 0.0000 0.0000 0.5000
# ΔH_f (0 K) in eV per atom: 0.753


[3]
# SCAN Ca2CrTe, single point on PBEsol structure
data_Ca2CrTe
_chemical_formula_sum 'Ca8 Cr4 Te4'
_cell_length_a 7.4566
_cell_length_b 7.4566
_cell_length_c 7.4566
_cell_angle_alpha 90.00
_cell_angle_beta 90.00
_cell_angle_gamma 90.00
_space_group_name_H-M_alt 'F -4 3 m'
_space_group_IT_number 216
_space_group_name_Hall 'F -4 2 3'
loop_
_atom_site_label
_atom_site_type_symbol
_atom_site_fract_x
_atom_site_fract_y
_atom_site_fract_z
Ca1 Ca 0.0000 0.0000 0.0000
Ca2 Ca 0.2500 0.2500 0.2500
Cr1 Cr 0.0000 0.0000 0.5000
Te1 Te 0.2500 0.2500 0.7500
# Energy relative to the elements, uncorrected in eV per atom: -0.0308


[4]
# SCAN Mo2OsPt, single point on PBEsol structure
data_Mo2OsPt
_chemical_formula_sum 'Mo4 Os2 Pt2'
_cell_length_a 5.4773
_cell_length_b 7.8374
_cell_length_c 2.7365
_cell_angle_alpha 90.00
_cell_angle_beta 90.00
_cell_angle_gamma 90.00
_space_group_name_H-M_alt 'C m m m'
_space_group_IT_number 65
_space_group_name_Hall '-C 2 2'
loop_
_atom_site_label
_atom_site_type_symbol
_atom_site_fract_x
_atom_site_fract_y
_atom_site_fract_z
Mo1 Mo 0.2500 0.2500 0.0000
Os1 Os 0.0000 0.0000 0.5000
Pt1 Pt 0.0000 0.5000 0.5000
# Distance to the lowest polymorph of the same formula in meV/atom: 44
# ΔH_f (0 K) in eV per atom: -0.202


[5]
# SCAN Be2InP, single point on PBEsol structure
data_Be2InP
_chemical_formula_sum 'Be2 In1 P1'
_cell_length_a 3.0628
_cell_length_b 3.0628
_cell_length_c 6.0320
_cell_angle_alpha 90.00
_cell_angle_beta 90.00
_cell_angle_gamma 90.00
_space_group_name_H-M_alt 'P 4/m m m'
_space_group_IT_number 123
_space_group_name_Hall '-P 4 2'
loop_
_atom_site_label
_atom_site_type_symbol
_atom_site_fract_x
_atom_site_fract_y
_atom_site_fract_z
Be1 Be 0.0000 0.0000 0.1700
In1 In 0.5000 0.5000 0.5000
P1 P 0.5000 0.5000 0.0000
# Distance to the lowest polymorph of the same formula in meV/atom: 296
# ΔH_f (0 K) in eV per atom: 0.451


[6]
# SCAN Cs2TcAu, single point on PBEsol structure
data_Cs2TcAu
_chemical_formula_sum 'Cs8 Tc4 Au4'
_cell_length_a 8.2568
_cell_length_b 8.2568
_cell_length_c 8.2568
_cell_angle_alpha 90.00
_cell_angle_beta 90.00
_cell_angle_gamma 90.00
_space_group_name_H-M_alt 'F m -3 m'
_space_group_IT_number 225
_space_group_name_Hall '-F 4 2 3'
loop_
_atom_site_label
_atom_site_type_symbol
_atom_site_fract_x
_atom_site_fract_y
_atom_site_fract_z
Cs1 Cs 0.2500 0.2500 0.2500
Tc1 Tc 0.0000 0.0000 0.0000
Au1 Au 0.0000 0.0000 0.5000
# ΔH_f (0 K) in eV per atom: 1.026


[7]
# SCAN PRu2W, single point on PBEsol structure
data_PRu2W
_chemical_formula_sum 'P2 Ru4 W2'
_cell_length_a 3.6958
_cell_length_b 3.6958
_cell_length_c 7.8563
_cell_angle_alpha 90.00
_cell_angle_beta 90.00
_cell_angle_gamma 90.00
_space_group_name_H-M_alt 'I -4 m 2'
_space_group_IT_number 119
_space_group_name_Hall 'I -4 -2'
loop_
_atom_site_label
_atom_site_type_symbol
_atom_site_fract_x
_atom_site_fract_y
_atom_site_fract_z
P1 P 0.0000 0.0000 0.0000
Ru1 Ru 0.0000 0.0000 0.5000
Ru2 Ru 0.0000 0.5000 0.2500
W1 W 0.0000 0.5000 0.7500
# ΔH_f (0 K) in eV per atom: 0.156


[8]
# SCAN HfAsSe2Cl, single point on PBEsol structure
data_HfAsSe2Cl
_chemical_formula_sum 'Hf1 As1 Se2 Cl1'
_cell_length_a 4.6687
_cell_length_b 4.6687
_cell_length_c 4.8787
_cell_angle_alpha 90.00
_cell_angle_beta 90.00
_cell_angle_gamma 90.00
_space_group_name_H-M_alt 'P 4/m m m'
_space_group_IT_number 123
_space_group_name_Hall '-P 4 2'
loop_
_atom_site_label
_atom_site_type_symbol
_atom_site_fract_x
_atom_site_fract_y
_atom_site_fract_z
Hf1 Hf 0.0000 0.0000 0.0000
As1 As 0.5000 0.5000 0.0000
Se1 Se 0.0000 0.5000 0.5000
Cl1 Cl 0.5000 0.5000 0.5000
# Energy relative to the elements, uncorrected in eV per atom: 0.7846


[9]
# SCAN KTa2Rh, single point on PBEsol structure
data_KTa2Rh
_chemical_formula_sum 'K1 Ta2 Rh1'
_cell_length_a 2.8079
_cell_length_b 3.8910
_cell_length_c 8.4259
_cell_angle_alpha 90.00
_cell_angle_beta 90.00
_cell_angle_gamma 90.00
_space_group_name_H-M_alt 'P m m m'
_space_group_IT_number 47
loop_
_space_group_symop_operation_xyz
'x,y,z'
'-x,-y,-z'
'-x,-y,z'
'x,y,-z'
'x,-y,-z'
'-x,y,z'
'-x,y,-z'
'x,-y,z'
loop_
_atom_site_label
_atom_site_type_symbol
_atom_site_fract_x
_atom_site_fract_y
_atom_site_fract_z
K1 K 0.0000 0.0000 0.0000
Ta1 Ta 0.5000 0.5000 0.3479
Rh1 Rh 0.0000 0.0000 0.5000
# Distance to the lowest polymorph of the same formula in meV/atom: 0
# ΔH_f (0 K) in eV per atom: 0.503


[10]
# SCAN RbCaMo3, single point on PBEsol structure
data_RbCaMo3
_chemical_formula_sum 'Rb1 Ca1 Mo3'
_cell_length_a 5.1630
_cell_length_b 5.1630
_cell_length_c 5.1630
_cell_angle_alpha 90.00
_cell_angle_beta 90.00
_cell_angle_gamma 90.00
_space_group_name_H-M_alt 'P m -3 m'
_space_group_IT_number 221
_space_group_name_Hall '-P 4 2 3'
loop_
_atom_site_label
_atom_site_type_symbol
_atom_site_fract_x
_atom_site_fract_y
_atom_site_fract_z
Rb1 Rb 0.0000 0.0000 0.0000
Ca1 Ca 0.5000 0.5000 0.5000
Mo1 Mo 0.0000 0.5000 0.5000
# ΔH_f (0 K) in eV per atom: 2.854


[11]
# SCAN LiAl2Se, single point on PBEsol structure
data_LiAl2Se
_chemical_formula_sum 'Li2 Al4 Se2'
_cell_length_a 5.2261
_cell_length_b 7.9303
_cell_length_c 3.4254
_cell_angle_alpha 90.00
_cell_angle_beta 90.00
_cell_angle_gamma 90.00
_space_group_name_H-M_alt 'C m m m'
_space_group_IT_number 65
_space_group_name_Hall '-C 2 2'
loop_
_atom_site_label
_atom_site_type_symbol
_atom_site_fract_x
_atom_site_fract_y
_atom_site_fract_z
Li1 Li 0.0000 0.0000 0.0000
Al1 Al 0.2500 0.2500 0.5000
Se1 Se 0.0000 0.5000 0.0000
# Energy relative to the elements, uncorrected in eV per atom: -0.1692


[12]
# SCAN Th3Pd4, single point on PBEsol structure
data_Th3Pd4
_chemical_formula_sum 'Th18 Pd24'
_cell_length_a 13.6331
_cell_length_b 13.6331
_cell_length_c 5.7234
_cell_angle_alpha 90.00
_cell_angle_beta 90.00
_cell_angle_gamma 120.00
_space_group_name_H-M_alt 'R -3'
_space_group_IT_number 148
_space_group_name_Hall '-R 3'
loop_
_atom_site_label
_atom_site_type_symbol
_atom_site_fract_x
_atom_site_fract_y
_atom_site_fract_z
Th1 Th 0.0423 0.8323 0.2385
Pd1 Pd 0.0000 0.0000 0.0000
Pd2 Pd 0.0000 0.0000 0.5000
Pd3 Pd 0.0528 0.6080 0.3833
# ΔH_f (0 K) in eV per atom: -0.848